# BaLi6Zn2

Crystalline BaLi6Zn2 at its relaxed geometry (PBE-GGA, Alexandria).

```
BaLi6Zn2
1.0
4.3195 0.0000 0.0000
0.0000 4.3195 0.0000
0.0000 0.0000 11.0614
Li Zn Ba
6 2 1
Cartesian
0.0000 2.1597 7.7302
2.1597 2.1597 5.5307
2.1597 0.0000 7.7302
0.0000 2.1597 3.3312
0.0000 0.0000 5.5307
2.1597 0.0000 3.3312
2.1597 2.1597 1.5829
2.1597 2.1597 9.4785
0.0000 0.0000 0.0000
```

## Properties
Its formation enthalpy at 0 K is -5.5 kJ per mole of atoms. The total magnetic moment comes out at 0.00 μB/f.u.

---

# Ba2LiZn

Crystalline Ba2LiZn at its relaxed geometry (PBE-GGA, Alexandria).

```
Ba2LiZn
1.0
-3.5896 -1.5924 -2.7902
-1.4091 -4.5955 0.2770
-7.2004 -0.0014 5.1056
Li Ba Zn
1 2 1
Cartesian
-7.7262 -4.3479 4.1039
-3.9185 -3.3298 -1.3756
-8.1768 -4.4260 0.5698
-7.9864 -1.8140 2.9927
```

## Properties
Its formation enthalpy at 0 K is -6.7 kJ per mole of atoms. The total magnetic moment comes out at 0.00 μB/f.u.

---

What did the second record say?
# Ba2LiZn

Crystalline Ba2LiZn at its relaxed geometry (PBE-GGA, Alexandria).

```
Ba2LiZn
1.0
-3.5896 -1.5924 -2.7902
-1.4091 -4.5955 0.2770
-7.2004 -0.0014 5.1056
Li Ba Zn
1 2 1
Cartesian
-7.7262 -4.3479 4.1039
-3.9185 -3.3298 -1.3756
-8.1768 -4.4260 0.5698
-7.9864 -1.8140 2.9927
```

## Properties
Its formation enthalpy at 0 K is -6.7 kJ per mole of atoms. The total magnetic moment comes out at 0.00 μB/f.u.